Entry 1:
Compound: HgTe2Rh
Source: the Alexandria database
Functional: GGA-PBE
Structure: optimized geometry

Values from the calculation:
Space group: Imm2
Total moment in μB/f.u.: 0.00
Formation energy without anion corrections in kcal/mol of atoms: 0.510

```
4
Lattice="-1.660 2.274 6.584 1.660 -2.274 6.584 1.660 2.274 -6.584" Properties=species:S:1:pos:R:3 pbc="T T T"
Hg 0.000 0.000 0.000
Te 1.660 0.000 4.364
Te 0.000 0.000 8.355
Rh 0.000 2.274 3.815
```

Entry 2:
Compound: CsAlS2Cl
Source: the Alexandria database
Functional: GGA-PBE
Structure: optimized geometry

Values from the calculation:
Space group: P4/mmm
Total moment in μB/f.u.: 1.06
Formation energy without anion corrections in kcal/mol of atoms: 15.627

```
5
Lattice="5.558 0.000 0.000 0.000 5.558 0.000 0.000 0.000 6.404" Properties=species:S:1:pos:R:3 pbc="T T T"
Cs 0.000 0.000 0.000
Al 2.779 2.779 3.202
S 0.000 2.779 0.000
S 2.779 0.000 0.000
Cl 0.000 0.000 3.202
```

Entry 3:
Compound: Tb5PrNd
Source: the Alexandria database
Functional: GGA-PBE
Structure: optimized geometry

Values from the calculation:
ΔH_f (0 K) in eV/atom: 0.184
Space group: C2/c
Total moment in μB/f.u.: 0.00

```
14
Lattice="5.918 -3.434 0.000 5.918 3.434 0.000 -4.125 0.000 11.524" Properties=species:S:1:pos:R:3 pbc="T T T"
Tb -0.496 0.938 8.664
Tb 2.824 2.832 8.643
Tb 5.001 1.878 0.011
Tb 4.773 1.878 5.751
Tb 1.567 -0.938 2.902
Tb 6.144 0.938 8.622
Tb 2.938 -1.878 5.773
Tb 2.710 -1.878 11.513
Tb 4.887 -2.832 2.881
Tb 8.207 -0.938 2.860
Pr 4.887 0.186 2.881
Pr 2.824 -0.186 8.643
Nd 0.896 1.717 5.762
Nd 2.959 -1.717 0.000
```

Entry 4:
Compound: KOs
Source: the Alexandria database
Functional: GGA-PBE
Structure: optimized geometry

Values from the calculation:
ΔH_f (0 K) in eV/atom: 1.120
Space group: Pnma
Total moment in μB/f.u.: 0.00

```
8
Lattice="9.919 0.000 0.000 0.000 4.043 0.000 0.000 0.000 6.478" Properties=species:S:1:pos:R:3 pbc="T T T"
K 1.810 1.011 0.599
K 3.149 3.032 3.837
K 6.770 1.011 2.640
K 8.108 3.032 5.879
Os 0.215 1.011 3.755
Os 4.745 3.032 0.517
Os 5.174 1.011 5.961
Os 9.704 3.032 2.722
```